--- 1 ---
Below is a geometry-optimized LiZr3 structure, with properties calculated at the PBE level.

Properties
Crystal system   hexagonal
Density   5.52 Mg/m³
Size of the total moment   0.0 μB/f.u.

Cell lengths 6.2229, 6.2229, 5.0374 Å; angles 90.00, 90.00, 120.00 degrees
Space group P6_3/mmc (No. 194)
Inequivalent atoms, fractional coordinates:
1 Li 0.3333 0.6667 0.2500 (multiplicity 2)
2 Zr 0.1704 0.3408 0.7500 (multiplicity 6)

--- 2 ---
Below is a geometry-optimized LiZr3 structure, with properties calculated at the PBE level.

Properties
Crystal system   orthorhombic
Density   5.46 Mg/m³
Size of the total moment   0.0 μB/f.u.

Cell lengths 5.112, 6.179, 5.403 Å; angles 90.00, 90.00, 90.00 degrees
Space group Pmmn (No. 59, origin choice 2)
Inequivalent atoms, fractional coordinates:
1 Li 0.250 0.250 0.170 (multiplicity 2)
2 Zr 0.250 0.503 0.662 (multiplicity 4)
3 Zr 0.250 0.750 0.154 (multiplicity 2)

--- 3 ---
Below is a geometry-optimized LiZr3 structure, with properties calculated at the PBE level.

Properties
Crystal system   orthorhombic
Density   5.37 Mg/m³
Size of the total moment   0.0 μB/f.u.

Cell lengths 6.474, 10.634, 5.042 Å; angles 90.00, 90.00, 90.00 degrees
Space group Cmcm (No. 63)
Inequivalent atoms, fractional coordinates:
1 Li 0.000 0.094 0.250 (multiplicity 4)
2 Zr 0.000 0.410 0.750 (multiplicity 4)
3 Zr 0.244 0.343 0.250 (multiplicity 8)

Quick ranking, most stable first: 3, 2, 1.

--- 1 ---
Below is a geometry-optimized LuMgNO structure, with properties calculated at the PBE level.

Properties
Crystal system   orthorhombic
Density   7.06 Mg/m³
Size of the total moment   0.0 μB/f.u.

Cell lengths 3.824, 6.099, 4.626 Å; angles 90.00, 90.00, 90.00 degrees
Space group Pmc2_1 (No. 26)
Inequivalent atoms, fractional coordinates:
1 Lu 0.000 0.184 0.000 (multiplicity 2)
2 Mg 0.500 0.327 0.508 (multiplicity 2)
3 N 0.000 0.180 0.497 (multiplicity 2)
4 O 0.500 0.344 0.986 (multiplicity 2)

--- 2 ---
Below is a geometry-optimized LuMgNO structure, with properties calculated at the PBE level.

Properties
Crystal system   tetragonal
Density   8.12 Mg/m³
Size of the total moment   0.0 μB/f.u.

Cell lengths 4.596, 4.596, 4.440 Å; angles 90.00, 90.00, 90.00 degrees
Space group P4/nmm (No. 129, origin choice 2)
Inequivalent atoms, fractional coordinates:
1 Lu 0.250 0.750 0.000 (multiplicity 2)
2 Mg 0.250 0.250 0.500 (multiplicity 2)
3 N 0.250 0.250 0.002 (multiplicity 2)
4 O 0.250 0.750 0.500 (multiplicity 2)

--- 3 ---
Below is a geometry-optimized LuMgNO structure, with properties calculated at the PBE level.

Properties
Crystal system   tetragonal
Density   7.32 Mg/m³
Size of the total moment   0.0 μB/f.u.

Cell lengths 3.699, 3.699, 7.601 Å; angles 90.00, 90.00, 90.00 degrees
Space group P4/nmm (No. 129, origin choice 2)
Inequivalent atoms, fractional coordinates:
1 Lu 0.250 0.250 0.143 (multiplicity 2)
2 Mg 0.250 0.750 0.500 (multiplicity 2)
3 N 0.250 0.250 0.633 (multiplicity 2)
4 O 0.250 0.750 0.000 (multiplicity 2)

Quick ranking, most stable first: 2, 1, 3.

--- 1 ---
Below is a geometry-optimized LuMgNO structure, with properties calculated at the PBE level.

Properties
Crystal system   tetragonal
Density   8.12 Mg/m³
Size of the total moment   0.0 μB/f.u.

Cell lengths 3.250, 3.250, 4.440 Å; angles 90.00, 90.00, 90.00 degrees
Space group P4/mmm (No. 123)
Inequivalent atoms, fractional coordinates:
1 Lu 0.000 0.000 0.000 (multiplicity 1)
2 Mg 0.500 0.500 0.500 (multiplicity 1)
3 N 0.500 0.500 0.000 (multiplicity 1)
4 O 0.000 0.000 0.500 (multiplicity 1)

--- 2 ---
Below is a geometry-optimized LuMgNO structure, with properties calculated at the PBE level.

Properties
Crystal system   orthorhombic
Density   7.16 Mg/m³
Size of the total moment   0.0 μB/f.u.

Cell lengths 5.941, 7.541, 4.745 Å; angles 90.00, 90.00, 90.00 degrees
Space group Pca2_1 (No. 29)
Inequivalent atoms, fractional coordinates:
1 Lu 0.063 0.139 0.000 (multiplicity 4)
2 Mg 0.081 0.614 0.976 (multiplicity 4)
3 N 0.067 0.138 0.511 (multiplicity 4)
4 O 0.093 0.604 0.543 (multiplicity 4)

--- 3 ---
Below is a geometry-optimized LuMgNO structure, with properties calculated at the PBE level.

Properties
Crystal system   orthorhombic
Density   6.59 Mg/m³
Size of the total moment   0.0 μB/f.u.

Cell lengths 3.502, 5.990, 5.512 Å; angles 90.00, 90.00, 90.00 degrees
Space group Pmc2_1 (No. 26)
Inequivalent atoms, fractional coordinates:
1 Lu 0.000 0.175 0.000 (multiplicity 2)
2 Mg 0.500 0.345 0.500 (multiplicity 2)
3 N 0.500 0.335 0.870 (multiplicity 2)
4 O 0.000 0.172 0.392 (multiplicity 2)

Quick ranking, most stable first: 1, 2, 3.

--- 1 ---
Below is a geometry-optimized NaLuMg structure, with properties calculated at the PBE level.

Properties
Crystal system   cubic
Density   3.69 Mg/m³
Size of the total moment   0.0 μB/f.u.

Cell lengths 7.371, 7.371, 7.371 Å; angles 90.00, 90.00, 90.00 degrees
Space group F-43m (No. 216)
Inequivalent atoms, fractional coordinates:
1 Na 0.000 0.000 0.000 (multiplicity 4)
2 Lu 0.000 0.000 0.500 (multiplicity 4)
3 Mg 0.250 0.250 0.750 (multiplicity 4)

--- 2 ---
Below is a geometry-optimized NaLuMg structure, with properties calculated at the PBE level.

Properties
Crystal system   cubic
Density   3.54 Mg/m³
Size of the total moment   0.0 μB/f.u.

Cell lengths 7.474, 7.474, 7.474 Å; angles 90.00, 90.00, 90.00 degrees
Space group F-43m (No. 216)
Inequivalent atoms, fractional coordinates:
1 Na 0.000 0.000 0.000 (multiplicity 4)
2 Lu 0.250 0.250 0.750 (multiplicity 4)
3 Mg 0.000 0.000 0.500 (multiplicity 4)

Quick ranking, most stable first: 1, 2.

--- 1 ---
Below is a geometry-optimized NaLuMgS3 structure, with properties calculated at the PBE level.

Properties
Crystal system   orthorhombic
Density   3.82 Mg/m³
Size of the total moment   0.0 μB/f.u.

Cell lengths 3.944, 13.231, 10.615 Å; angles 90.00, 90.00, 90.00 degrees
Space group Cmcm (No. 63)
Inequivalent atoms, fractional coordinates:
1 Na 0.000 0.245 0.250 (multiplicity 4)
2 Lu 0.000 0.500 0.000 (multiplicity 4)
3 Mg 0.000 0.031 0.750 (multiplicity 4)
4 S 0.000 0.128 0.562 (multiplicity 8)
5 S 0.000 0.424 0.750 (multiplicity 4)

--- 2 ---
Below is a geometry-optimized NaLuMgS3 structure, with properties calculated at the PBE level.

Properties
Crystal system   monoclinic
Density   3.46 Mg/m³
Size of the total moment   0.0 μB/f.u.

Cell lengths 7.847, 3.972, 10.254 Å; angles 90.00, 107.20, 90.00 degrees
Space group P2_1/m (No. 11)
Inequivalent atoms, fractional coordinates:
1 Na 0.181 0.250 0.148 (multiplicity 2)
2 Lu 0.332 0.750 0.859 (multiplicity 2)
3 Mg 0.061 0.250 0.614 (multiplicity 2)
4 S 0.088 0.250 0.853 (multiplicity 2)
5 S 0.219 0.750 0.576 (multiplicity 2)
6 S 0.437 0.750 0.132 (multiplicity 2)

Quick ranking, most stable first: 2, 1.

--- 1 ---
Below is a geometry-optimized LuMgNiPb structure, with properties calculated at the PBE level.

Properties
Crystal system   cubic
Density   9.42 Mg/m³
Size of the total moment   0.0 μB/f.u.

Cell lengths 6.897, 6.897, 6.897 Å; angles 90.00, 90.00, 90.00 degrees
Space group F-43m (No. 216)
Inequivalent atoms, fractional coordinates:
1 Lu 0.000 0.000 0.000 (multiplicity 4)
2 Mg 0.250 0.250 0.750 (multiplicity 4)
3 Ni 0.000 0.000 0.500 (multiplicity 4)
4 Pb 0.250 0.250 0.250 (multiplicity 4)

--- 2 ---
Below is a geometry-optimized LuMgNiPb structure, with properties calculated at the PBE level.

Properties
Crystal system   cubic
Density   9.57 Mg/m³
Size of the total moment   0.0 μB/f.u.

Cell lengths 6.861, 6.861, 6.861 Å; angles 90.00, 90.00, 90.00 degrees
Space group F-43m (No. 216)
Inequivalent atoms, fractional coordinates:
1 Lu 0.000 0.000 0.000 (multiplicity 4)
2 Mg 0.250 0.250 0.250 (multiplicity 4)
3 Ni 0.250 0.250 0.750 (multiplicity 4)
4 Pb 0.000 0.000 0.500 (multiplicity 4)

Quick ranking, most stable first: 2, 1.